1.
Material: GdBNO
Method: DFT, PBE-GGA
State: optimized geometry

The value obtained for the offset from the most stable computed form is 1.001 eV/atom. The calculated volume is 12.9 A^3/atom. Its magnetization is 1.29 Bohr magnetons per cell. The uncorrected energy is -7.087 eV per atom.

Cell: 4.8128 4.8128 4.4672 Å, 90.00 90.00 90.00°
Space group P4/nmm (No. 129, origin choice 2)
Symmetry-distinct sites (fractional):
Gd 0.2500 0.7500 0.0000 x2
B 0.2500 0.2500 0.4102 x2
N 0.2500 0.2500 0.1063 x2
O 0.2500 0.7500 0.5000 x2

2.
Material: Tb2GdIn3PdAu2
Method: DFT, PBE-GGA
State: optimized geometry

The calculated volume is 23.0 A^3/atom. Its magnetization is 0.03 Bohr magnetons per cell. The uncorrected energy is -4.555 eV per atom.

Cell: 3.9416 13.5039 7.7883 Å, 90.00 90.00 90.00°
Space group Amm2 (No. 38)
Symmetry-distinct sites (fractional):
Tb 0.0000 0.2032 0.0000 x4
Gd 0.0000 0.0000 0.6099 x2
In 0.5000 0.0000 0.9495 x2
In 0.5000 0.1270 0.3297 x4
Pd 0.0000 0.0000 0.2023 x2
Au 0.5000 0.1674 0.7034 x4

3.
Material: Tm3Cu4Si2Sn2
Method: DFT, PBE-GGA
State: optimized geometry

The calculated volume is 18.3 A^3/atom. Its magnetization is 0.00 Bohr magnetons per cell. The uncorrected energy is -4.792 eV per atom.

Cell: 4.1952 6.8118 14.0606 Å, 90.00 90.00 90.00°
Space group Immm (No. 71)
Symmetry-distinct sites (fractional):
Tm 0.0000 0.0000 0.0000 x2
Tm 0.0000 0.5000 0.1346 x4
Cu 0.0000 0.3088 0.3176 x8
Si 0.0000 0.0000 0.2156 x4
Sn 0.0000 0.2042 0.5000 x4

4.
Material: LaZnInSe3
Method: DFT, PBE-GGA
State: optimized geometry

The value obtained for the offset from the most stable computed form is 0.000 eV/atom. The calculated volume is 27.2 A^3/atom. Its magnetization is 0.01 Bohr magnetons per cell. The uncorrected energy is -4.347 eV per atom.

Cell: 11.8760 4.3884 12.5403 Å, 90.00 90.00 90.00°
Space group Pnma (No. 62)
Symmetry-distinct sites (fractional):
La 0.0178 0.2500 0.1782 x4
Zn 0.2491 0.7500 0.3000 x4
In 0.1685 0.2500 0.5058 x4
Se 0.0472 0.7500 0.3455 x4
Se 0.1055 0.2500 0.9407 x4
Se 0.2189 0.7500 0.6978 x4

5.
Material: UCo3B2
Method: DFT, PBE-GGA
State: optimized geometry

The calculated volume is 10.6 A^3/atom. Its magnetization is 1.08 Bohr magnetons per cell. The uncorrected energy is -8.088 eV per atom.

Cell: 4.9597 4.9597 2.9903 Å, 90.00 90.00 120.00°
Space group P6/mmm (No. 191)
Symmetry-distinct sites (fractional):
U 0.0000 0.0000 0.0000 x1
Co 0.0000 0.5000 0.5000 x3
B 0.3333 0.6667 0.0000 x2

6.
Material: OsIBr4
Method: DFT, PBE-GGA
State: optimized geometry

The calculated volume is 33.0 A^3/atom. Its magnetization is 6.00 Bohr magnetons per cell. The uncorrected energy is -3.282 eV per atom.

Cell: 6.7025 7.2593 9.7169 Å, 109.16 90.70 115.58°
Space group P-1 (No. 2)
Symmetry-distinct sites (fractional):
Os 0.0987 0.2067 0.2079 x2
I 0.4510 0.5836 0.3387 x2
Br 0.0703 0.8163 0.5749 x2
Br 0.1176 0.6228 0.8518 x2
Br 0.2339 0.1767 0.9565 x2
Br 0.2984 0.0077 0.2477 x2

7.
Material: CuBOsW
Method: DFT, PBE-GGA
State: optimized geometry

The value obtained for the offset from the most stable computed form is 0.000 eV/atom. The calculated volume is 12.0 A^3/atom. Its magnetization is 0.01 Bohr magnetons per cell. The uncorrected energy is -8.117 eV per atom.

Cell: 5.7689 5.7689 5.7689 Å, 90.00 90.00 90.00°
Space group F-43m (No. 216)
Symmetry-distinct sites (fractional):
Cu 0.0000 0.0000 0.0000 x4
B 0.0000 0.0000 0.5000 x4
Os 0.2500 0.2500 0.7500 x4
W 0.2500 0.2500 0.2500 x4

8.
Material: YMgCdHg
Method: DFT, PBE-GGA
State: optimized geometry

The value obtained for the offset from the most stable computed form is 0.137 eV/atom. The calculated volume is 23.0 A^3/atom. Its magnetization is 0.01 Bohr magnetons per cell. The uncorrected energy is -2.562 eV per atom.

Cell: 7.1668 7.1668 7.1668 Å, 90.00 90.00 90.00°
Space group F-43m (No. 216)
Symmetry-distinct sites (fractional):
Y 0.0000 0.0000 0.0000 x4
Mg 0.2500 0.2500 0.2500 x4
Cd 0.0000 0.0000 0.5000 x4
Hg 0.2500 0.2500 0.7500 x4

9.
Material: RbSrGdTe3
Method: DFT, PBE-GGA
State: optimized geometry

The calculated volume is 44.0 A^3/atom. Its magnetization is 0.00 Bohr magnetons per cell. The uncorrected energy is -4.163 eV per atom.

Cell: 20.5504 4.5536 12.9502 Å, 90.00 119.34 90.00°
Space group C2/m (No. 12)
Symmetry-distinct sites (fractional):
Rb 0.0438 0.0000 0.2451 x4
Sr 0.1166 0.5000 0.6777 x4
Gd 0.1682 0.5000 0.0700 x4
Te 0.0000 0.0000 0.5000 x2
Te 0.0000 0.5000 0.0000 x2
Te 0.1585 0.0000 0.8875 x4
Te 0.2136 0.0000 0.2531 x4

10.
Material: SiTc2W
Method: DFT, PBE-GGA
State: optimized geometry

The calculated volume is 14.3 A^3/atom. Its magnetization is 0.00 Bohr magnetons per cell. The uncorrected energy is -10.042 eV per atom.

Cell: 3.0738 3.0738 6.0341 Å, 90.00 90.00 90.00°
Space group P4/mmm (No. 123)
Symmetry-distinct sites (fractional):
Si 0.0000 0.0000 0.0000 x1
Tc 0.5000 0.5000 0.2377 x2
W 0.0000 0.0000 0.5000 x1

11.
Material: MgCuGeW
Method: DFT, PBE-GGA
State: optimized geometry

The value obtained for the offset from the most stable computed form is 0.000 eV/atom. The calculated volume is 15.2 A^3/atom. Its magnetization is 0.04 Bohr magnetons per cell. The uncorrected energy is -5.190 eV per atom.

Cell: 6.2462 6.2462 6.2462 Å, 90.00 90.00 90.00°
Space group F-43m (No. 216)
Symmetry-distinct sites (fractional):
Mg 0.0000 0.0000 0.0000 x4
Cu 0.2500 0.2500 0.7500 x4
Ge 0.0000 0.0000 0.5000 x4
W 0.2500 0.2500 0.2500 x4

12.
Material: SrTmNO
Method: DFT, PBE-GGA
State: optimized geometry

The value obtained for the offset from the most stable computed form is 0.088 eV/atom. The calculated volume is 15.3 A^3/atom. Its magnetization is 0.00 Bohr magnetons per cell. The uncorrected energy is -6.927 eV per atom.

Cell: 3.4741 3.4741 5.0849 Å, 90.00 90.00 90.00°
Space group P4/mmm (No. 123)
Symmetry-distinct sites (fractional):
Sr 0.0000 0.0000 0.0000 x1
Tm 0.5000 0.5000 0.5000 x1
N 0.0000 0.0000 0.5000 x1
O 0.5000 0.5000 0.0000 x1

Look up the uncorrected energy of the eleventh one. -5.190 eV per atom